The following is a DFT calculation (PBE with a Hubbard U) of a relaxed structure of Sr7CaMn3Fe5O24.

Crystal system: monoclinic
Electronic total energy, eV per atom: -6.544
DOS(E_F), states/eV/atom: 0.603

```
data_Sr7CaMn3Fe5O24
_chemical_formula_sum 'Sr14 Ca2 Mn6 Fe10 O48'
_symmetry_space_group_name_H-M 'C 1 m 1'
_symmetry_Int_Tables_number 8
_symmetry_space_group_name_Hall 'C -2y'
_cell_length_a 11.047
_cell_length_b 11.013
_cell_length_c 7.801
_cell_angle_alpha 90.00
_cell_angle_beta 90.01
_cell_angle_gamma 90.00
loop_
_atom_site_label
_atom_site_fract_x
_atom_site_fract_y
_atom_site_fract_z
Sr1 0.000 0.000 0.000
Sr2 0.002 0.000 0.501
Sr3 0.249 0.251 0.501
Sr4 0.250 0.250 0.001
Sr5 0.496 0.000 0.000
Ca1 0.499 0.000 0.503
Mn1 0.248 0.500 0.750
Mn2 0.499 0.249 0.750
Fe1 0.248 0.500 0.252
Fe2 0.250 0.000 0.251
Fe3 0.250 0.000 0.750
Fe4 0.499 0.249 0.252
O1 0.013 0.258 0.998
O2 0.121 0.378 0.719
O3 0.122 0.378 0.276
O4 0.123 0.127 0.744
O5 0.125 0.125 0.258
O6 0.228 0.500 0.997
O7 0.244 0.000 0.003
O8 0.260 0.000 0.498
O9 0.271 0.500 0.504
O10 0.372 0.374 0.775
O11 0.373 0.375 0.232
O12 0.374 0.124 0.245
O13 0.376 0.126 0.755
O14 0.485 0.257 0.504
```